Record 1
# CaLa

A PBEsol-optimized structure of CaLa (meta-GGA SCAN, the Alexandria database).

Lattice parameters (Å, degrees): 3.6820 3.6820 18.7282 90.00 90.00 120.00
Space group R-3m (No. 166, hexagonal axes)
Symmetry-distinct sites (fractional):
Ca 0.0000 0.0000 0.0000 x3
La 0.0000 0.0000 0.5000 x3

## Properties
Distance to the lowest polymorph of the same formula: 0.0638 eV per atom


Record 2
# CaLa

A PBEsol-optimized structure of CaLa (meta-GGA SCAN, the Alexandria database).

Lattice parameters (Å, degrees): 3.7381 3.7381 12.4366 90.00 90.00 120.00
Space group P-3m1 (No. 164)
Symmetry-distinct sites (fractional):
Ca 0.3333 0.6667 0.1295 x2
La 0.3333 0.6667 0.6133 x2

## Properties
Distance to the lowest polymorph of the same formula: 0.0123 eV per atom


Record 3
# Ca3La

A PBEsol-optimized structure of Ca3La (meta-GGA SCAN, the Alexandria database).

Lattice parameters (Å, degrees): 3.6194 6.0454 7.1044 90.00 100.32 90.00
Space group P2/m (No. 10)
Symmetry-distinct sites (fractional):
Ca 0.0000 0.0000 0.0000 x1
Ca 0.2260 0.5000 0.7473 x2
La 0.5000 0.0000 0.5000 x1

## Properties
Distance to the lowest polymorph of the same formula: 0.0476 eV per atom


Record 4
# Ca2La

A PBEsol-optimized structure of Ca2La (meta-GGA SCAN, the Alexandria database).

Lattice parameters (Å, degrees): 14.0388 3.7154 8.9784 90.00 104.28 90.00
Space group C2/m (No. 12)
Symmetry-distinct sites (fractional):
Ca 0.0240 0.0000 0.3111 x4
Ca 0.1402 0.5000 0.0249 x4
La 0.2069 0.5000 0.6262 x4

## Properties
Distance to the lowest polymorph of the same formula: 0.0000 eV per atom


Record 5
# CaLa5

A PBEsol-optimized structure of CaLa5 (meta-GGA SCAN, the Alexandria database).

Lattice parameters (Å, degrees): 3.6406 3.6406 15.8078 90.00 90.00 90.00
Space group P4/mmm (No. 123)
Symmetry-distinct sites (fractional):
Ca 0.0000 0.0000 0.0000 x1
La 0.0000 0.0000 0.3363 x2
La 0.5000 0.5000 0.1820 x2
La 0.5000 0.5000 0.5000 x1

## Properties
Distance to the lowest polymorph of the same formula: 0.0000 eV per atom


Record 6
# CaLa

A PBEsol-optimized structure of CaLa (meta-GGA SCAN, the Alexandria database).

Lattice parameters (Å, degrees): 3.5612 14.2721 5.7845 90.00 90.00 90.00
Space group Cmcm (No. 63)
Symmetry-distinct sites (fractional):
Ca 0.0000 0.0640 0.2500 x4
La 0.0000 0.3106 0.2500 x4

## Properties
Distance to the lowest polymorph of the same formula: 0.0651 eV per atom


Number 1: VASP energy -157.78 eV for the cell shown, ΔE_f 0.088 eV/atom. Number 2: VASP energy -105.39 eV for the cell shown, ΔE_f 0.037 eV/atom. Number 3: VASP energy -71.79 eV for the cell shown, ΔE_f 0.077 eV/atom. Number 4: VASP energy -249.14 eV for the cell shown, ΔE_f 0.049 eV/atom. Number 5: VASP energy -225.07 eV for the cell shown, ΔE_f 0.020 eV/atom. Number 6: VASP energy -210.36 eV for the cell shown, ΔE_f 0.090 eV/atom.